(1)
YMn2Te: optimized geometry, PBE-GGA.

Cell lengths 5.538, 5.538, 5.538 Å; angles 135.47, 134.94, 65.21 degrees
Atoms (fractional coordinates):
1 Y 0.000 0.000 0.000
2 Mn 0.251 0.751 0.500
3 Mn 0.749 0.249 0.500
4 Te 0.500 0.500 0.000

Calculated values
Uncorrected formation energy ... 0.05 eV/atom
Symmetry ... Immm


(2)
ScTaZn2: optimized geometry, PBE-GGA.

Cell lengths 3.029, 3.997, 5.838 Å; angles 90.00, 90.00, 90.00 degrees
Atoms (fractional coordinates):
1 Sc 0.000 0.000 0.000
2 Ta 0.500 0.500 0.273
3 Zn 0.000 0.000 0.499
4 Zn 0.500 0.500 0.754

Calculated values
Energy relative to the elements ... 0.2 eV per formula unit
Symmetry ... Pmm2
ΔE to the lowest computed polymorph ... 0.178 eV per atom


(3)
Ho2CoNi: optimized geometry, PBE-GGA.

Cell lengths 5.551, 3.903, 7.693 Å; angles 90.00, 110.31, 90.00 degrees
Atoms (fractional coordinates):
1 Ho 0.215 0.250 0.433
2 Ho 0.217 0.250 0.925
3 Ho 0.783 0.750 0.075
4 Ho 0.785 0.750 0.567
5 Co 0.364 0.750 0.717
6 Co 0.636 0.250 0.283
7 Ni 0.362 0.750 0.214
8 Ni 0.638 0.250 0.786

Calculated values
Energy relative to the elements ... -1.4 eV per formula unit
Symmetry ... P2_1/m


(4)
InTc2P2: optimized geometry, PBE-GGA.

Cell lengths 6.566, 6.566, 6.566 Å; angles 147.92, 147.92, 46.00 degrees
Atoms (fractional coordinates):
1 In 0.000 0.000 0.000
2 Tc 0.376 0.376 0.000
3 Tc 0.624 0.624 0.000
4 P 0.250 0.750 0.500
5 P 0.750 0.250 0.500

Calculated values
Energy relative to the elements ... -1.1 eV per formula unit
Symmetry ... I4/mmm
ΔE to the lowest computed polymorph ... 0.000 eV per atom


(5)
Pr7Tm3: optimized geometry, PBE-GGA.

Cell lengths 9.656, 9.656, 7.268 Å; angles 101.35, 101.35, 31.06 degrees
Atoms (fractional coordinates):
1 Pr 0.000 0.000 0.000
2 Pr 0.200 0.200 0.601
3 Pr 0.398 0.398 0.197
4 Pr 0.401 0.401 0.701
5 Pr 0.599 0.599 0.299
6 Pr 0.602 0.602 0.803
7 Pr 0.800 0.800 0.399
8 Tm 0.000 0.000 0.500
9 Tm 0.202 0.202 0.100
10 Tm 0.798 0.798 0.900

Calculated values
Energy relative to the elements ... 0.2 eV per formula unit
Symmetry ... C2/m


(6)
TbHoMn4: optimized geometry, PBE-GGA.

Cell lengths 5.101, 5.101, 5.101 Å; angles 60.00, 60.00, 60.00 degrees
Atoms (fractional coordinates):
1 Tb 0.000 0.000 0.000
2 Ho 0.250 0.250 0.250
3 Mn 0.125 0.625 0.625
4 Mn 0.625 0.125 0.625
5 Mn 0.625 0.625 0.125
6 Mn 0.625 0.625 0.625

Calculated values
Energy relative to the elements ... 0.9 eV per formula unit
Symmetry ... F-43m


(7)
Ca2ScTlW: optimized geometry, PBE-GGA.

Cell lengths 5.652, 5.652, 5.298 Å; angles 90.00, 90.00, 90.00 degrees
Atoms (fractional coordinates):
1 Ca 0.000 0.500 0.000
2 Ca 0.500 0.000 0.000
3 Sc 0.000 0.000 0.500
4 Tl 0.500 0.500 0.000
5 W 0.500 0.500 0.500

Calculated values
Energy relative to the elements ... 6.0 eV per formula unit
Symmetry ... P4/mmm


(8)
MgCu2Se2: optimized geometry, PBE-GGA.

Cell lengths 7.331, 7.331, 4.266 Å; angles 90.00, 90.00, 90.00 degrees
Atoms (fractional coordinates):
1 Mg 0.000 0.000 0.000
2 Mg 0.500 0.500 0.000
3 Cu 0.243 0.257 0.500
4 Cu 0.257 0.757 0.500
5 Cu 0.743 0.243 0.500
6 Cu 0.757 0.743 0.500
7 Se 0.175 0.675 0.000
8 Se 0.325 0.175 0.000
9 Se 0.675 0.825 0.000
10 Se 0.825 0.325 0.000

Calculated values
Uncorrected formation energy ... -0.19 eV/atom
Symmetry ... P4/mbm
ΔE to the lowest computed polymorph ... 0.323 eV per atom